DFT (GGA-PBE) results for a geometry-optimized SrMgMnP structure.

```
8
Lattice="-2.718 -1.898 -1.988 1.461 -3.366 1.215 -7.316 0.324 9.696" Properties=species:S:1:pos:R:3 pbc="T T T"
P -1.090 -1.282 0.834
P -7.484 -3.658 8.089
Mg -3.242 -2.837 5.263
Mg -5.332 -2.103 3.661
Mn -1.673 -2.265 -1.187
Mn 0.416 -2.999 0.414
Sr -5.949 -1.066 7.274
Sr -2.625 -3.873 1.649
```

Computed properties:
volume = 22.70 Å³ per atom
theoretical density = 3.619 g/cm³
ΔH_f (0 K) = -0.43 eV/atom
symmetry = P4/nmm (129)
N(E_F) = 2.39 states/eV/f.u.



DFT (GGA-PBE) results for a geometry-optimized MgTiMnP2 structure.

```
5
Lattice="-0.186 1.030 -4.573 -1.549 -4.310 -0.908 -4.421 1.481 0.513" Properties=species:S:1:pos:R:3 pbc="T T T"
Ti 0.000 0.000 0.000
Mg -3.078 -0.900 -2.484
Mn -0.774 -2.155 -0.454
P -0.093 0.515 -2.286
P -2.211 0.740 0.257
```

Computed properties:
volume = 20.55 Å³ per atom
theoretical density = 3.056 g/cm³
ΔH_f (0 K) = 0.35 eV/atom
symmetry = P4/mmm (123)
N(E_F) = 3.31 states/eV/f.u.



DFT (GGA-PBE) results for a geometry-optimized MgMnV2P structure.

```
5
Lattice="4.605 0.000 0.000 0.000 4.317 0.000 0.000 0.000 4.605" Properties=species:S:1:pos:R:3 pbc="T T T"
V 0.000 0.000 2.302
V 2.302 0.000 0.000
P 2.302 2.159 2.302
Mn 0.000 2.159 0.000
Mg 0.000 0.000 0.000
```

Computed properties:
volume = 18.31 Å³ per atom
theoretical density = 3.848 g/cm³
ΔH_f (0 K) = 1.90 eV/atom
symmetry = P4/mmm (123)
N(E_F) = 7.17 states/eV/f.u.



DFT (GGA-PBE) results for a geometry-optimized Mg2PaMnS6 structure.

```
10
Lattice="-2.681 -0.240 -4.484 0.353 -7.085 0.168 -6.083 -0.216 3.648" Properties=species:S:1:pos:R:3 pbc="T T T"
S -3.179 -5.623 -2.336
S -0.608 -0.054 -1.017
S -3.363 -1.923 -2.424
S -3.446 -3.703 0.936
S -6.539 -2.036 -0.519
S -6.355 -5.735 -0.431
Mg -2.083 -3.745 -3.695
Mg -5.301 -0.310 -1.955
Pa -4.753 -3.820 -1.251
Mn -1.710 -0.153 -2.860
```

Computed properties:
volume = 26.33 Å³ per atom
theoretical density = 3.323 g/cm³
symmetry = P4mm (99)
uncorrected formation energy = -0.8792 eV/atom
N(E_F) = 7.11 states/eV/f.u.



DFT (GGA-PBE) results for a geometry-optimized MgPaMnTc structure.

```
4
Lattice="4.610 0.000 0.000 2.305 3.993 0.000 2.305 1.331 3.764" Properties=species:S:1:pos:R:3 pbc="T T T"
Pa 6.915 3.993 2.823
Mg 2.305 1.331 0.941
Tc 4.610 2.662 1.882
Mn 0.000 0.000 0.000
```

Computed properties:
volume = 17.32 Å³ per atom
theoretical density = 9.785 g/cm³
ΔH_f (0 K) = 0.02 eV/atom
symmetry = F-43m (216)
N(E_F) = 2.81 states/eV/f.u.



DFT (GGA-PBE) results for a geometry-optimized MgMnPb structure.

```
3
Lattice="-2.183 -1.685 -3.924 3.935 -2.172 1.674 -1.902 -1.977 1.907" Properties=species:S:1:pos:R:3 pbc="T T T"
Pb -1.322 -3.072 -0.876
Mn 1.165 -2.769 0.540
Mg -1.896 -1.970 1.900
```

Computed properties:
volume = 22.19 Å³ per atom
theoretical density = 7.146 g/cm³
ΔH_f (0 K) = 0.34 eV/atom
symmetry = P3m1 (156)
N(E_F) = 1.79 states/eV/f.u.



DFT (GGA-PBE) results for a geometry-optimized Mg2MnPb structure.

```
4
Lattice="-2.454 1.351 -2.156 -2.539 -1.116 2.192 0.309 6.054 3.442" Properties=species:S:1:pos:R:3 pbc="T T T"
Mg 0.006 0.122 0.070
Mg -2.412 1.781 0.964
Pb -2.271 4.535 2.530
Mn 0.147 2.877 1.636
```

Computed properties:
volume = 21.78 Å³ per atom
theoretical density = 5.923 g/cm³
ΔH_f (0 K) = 0.20 eV/atom
symmetry = P4mm (99)
N(E_F) = 2.18 states/eV/f.u.



DFT (GGA-PBE) results for a geometry-optimized Mg2MnPb structure.

```
4
Lattice="5.082 0.232 -0.034 -1.560 4.842 -0.034 0.022 0.032 3.476" Properties=species:S:1:pos:R:3 pbc="T T T"
Mg 0.000 0.000 0.000
Mg 1.761 2.537 -0.034
Mn 2.552 0.132 1.721
Pb -0.769 2.437 1.721
```

Computed properties:
volume = 21.70 Å³ per atom
theoretical density = 5.944 g/cm³
ΔH_f (0 K) = 0.20 eV/atom
symmetry = Cmmm (65)
N(E_F) = 1.72 states/eV/f.u.



DFT (GGA-PBE) results for a geometry-optimized Mg2MnPb structure.

```
4
Lattice="10.286 0.054 0.032 9.767 3.225 0.032 9.767 1.597 2.802" Properties=species:S:1:pos:R:3 pbc="T T T"
Mg 0.293 0.048 0.028
Mg 14.617 2.390 1.405
Pb 7.455 1.219 0.716
Mn 22.365 3.657 2.149
```

Computed properties:
volume = 22.61 Å³ per atom
theoretical density = 5.706 g/cm³
ΔH_f (0 K) = 0.23 eV/atom
symmetry = R-3m (166)
N(E_F) = 2.41 states/eV/f.u.



DFT (GGA-PBE) results for a geometry-optimized Mg2MnPb structure.

```
4
Lattice="4.990 0.000 0.000 2.495 4.322 0.000 2.495 1.441 4.074" Properties=species:S:1:pos:R:3 pbc="T T T"
Mg 0.000 0.000 0.000
Mg 2.495 1.441 1.019
Mn 4.990 2.881 2.037
Pb 7.485 4.322 3.056
```

Computed properties:
volume = 21.97 Å³ per atom
theoretical density = 5.873 g/cm³
ΔH_f (0 K) = 0.25 eV/atom
symmetry = F-43m (216)
N(E_F) = 3.56 states/eV/f.u.



DFT (GGA-PBE) results for a geometry-optimized MgMnPb4 structure.

```
6
Lattice="0.000 4.538 4.538 4.538 0.000 4.538 4.538 4.538 0.000" Properties=species:S:1:pos:R:3 pbc="T T T"
Mg 6.806 6.806 6.806
Mn 0.000 0.000 0.000
Pb 5.676 3.399 5.676
Pb 3.399 3.399 3.399
Pb 3.399 5.676 5.676
Pb 5.676 5.676 3.399
```

Computed properties:
volume = 31.14 Å³ per atom
theoretical density = 8.069 g/cm³
ΔH_f (0 K) = 0.50 eV/atom
symmetry = F-43m (216)
N(E_F) = 3.62 states/eV/f.u.



DFT (GGA-PBE) results for a geometry-optimized Mg2MnPb structure.

```
4
Lattice="4.190 0.000 0.000 0.000 3.218 -0.014 0.000 3.231 6.359" Properties=species:S:1:pos:R:3 pbc="T T T"
Mg 0.000 3.219 0.163
Mg 0.000 3.223 2.995
Mn 2.095 1.612 1.586
Pb 2.095 4.837 4.759
```

Computed properties:
volume = 21.48 Å³ per atom
theoretical density = 6.007 g/cm³
ΔH_f (0 K) = 0.19 eV/atom
symmetry = P2/m (10)
N(E_F) = 2.55 states/eV/f.u.



- What is the volume in the eighth record?
  21.70 Å³ per atom



- Among the records above, which one has the highest theoretical density?
  MgPaMnTc



Please write out number 4 again, unchanged.
DFT (GGA-PBE) results for a geometry-optimized Mg2PaMnS6 structure.

```
10
Lattice="-2.681 -0.240 -4.484 0.353 -7.085 0.168 -6.083 -0.216 3.648" Properties=species:S:1:pos:R:3 pbc="T T T"
S -3.179 -5.623 -2.336
S -0.608 -0.054 -1.017
S -3.363 -1.923 -2.424
S -3.446 -3.703 0.936
S -6.539 -2.036 -0.519
S -6.355 -5.735 -0.431
Mg -2.083 -3.745 -3.695
Mg -5.301 -0.310 -1.955
Pa -4.753 -3.820 -1.251
Mn -1.710 -0.153 -2.860
```

Computed properties:
volume = 26.33 Å³ per atom
theoretical density = 3.323 g/cm³
symmetry = P4mm (99)
uncorrected formation energy = -0.8792 eV/atom
N(E_F) = 7.11 states/eV/f.u.